Material: Na2LiNb2
Method: DFT, GGA-PBE
State: optimized geometry

abc: 3.9557 3.9557 15.0389
angles: 90.00 90.00 90.00
With the nearest neighbours (Å) after each atom.
Space group I4/mmm (No. 139)
One atom of each set of equivalent atoms:
Na1 0.0000 0.5000 0.2500 x4  4 Na 2.80
Li1 0.0000 0.0000 0.0000 x2  8 Nb 3.00
Nb1 0.0000 0.0000 0.4282 x4  1 Nb 2.16

D(E_F) in states/eV per cell: 7.51
Formation energy in eV/f.u.: 4.82